i.
Density functional theory data (GGA-PBEsol) for crystalline NiTeCI2 at its relaxed geometry.

Geometry as CIF:
```
data_NiTeCI2
_space_group_name_H-M_alt 'P 4/m m m'
_space_group_IT_number 123
_space_group_name_Hall '-P 4 2'
_cell_length_a 5.106
_cell_length_b 5.106
_cell_length_c 4.936
_cell_angle_alpha 90.00
_cell_angle_beta 90.00
_cell_angle_gamma 90.00
loop_
_atom_site_label
_atom_site_fract_x
_atom_site_fract_y
_atom_site_fract_z
Ni1 0.000 0.000 0.000
Te1 0.000 0.000 0.500
C1 0.500 0.500 0.500
I1 0.000 0.500 0.000
```

Calculated values
- DOS(E_F) (states/eV/f.u.) = 5.67
- V (Å³ per cell) = 129
- crystal system = tetragonal
- total magnetic moment (μB per atom) = 0.1985



ii.
Density functional theory data (GGA-PBEsol) for crystalline NiTeCI2 at its relaxed geometry.

Geometry as CIF:
```
data_NiTeCI2
_space_group_name_H-M_alt 'P 4/m m m'
_space_group_IT_number 123
_space_group_name_Hall '-P 4 2'
_cell_length_a 4.734
_cell_length_b 4.734
_cell_length_c 4.838
_cell_angle_alpha 90.00
_cell_angle_beta 90.00
_cell_angle_gamma 90.00
loop_
_atom_site_label
_atom_site_fract_x
_atom_site_fract_y
_atom_site_fract_z
Ni1 0.000 0.000 0.000
Te1 0.500 0.500 0.000
C1 0.500 0.500 0.500
I1 0.000 0.500 0.500
```

Calculated values
- DOS(E_F) (states/eV/f.u.) = 6.90
- V (Å³ per cell) = 108
- crystal system = tetragonal
- total magnetic moment (μB per atom) = 0.2400



Stability verdict: ii, ahead by 12.5 kJ/mol of atoms